# Tc2Ni2Sn

A geometry-optimized Tc2Ni2Sn structure (GGA-PBE, the Alexandria database).

Properties
DFT formation energy, eV per atom: 0.3211
Total moment, μB per atom: 0.00
E_tot, Ry per atom: -0.50996
ΔE to the lowest computed polymorph, meV per atom: 61.3
DOS at the Fermi energy, states/eV per cell: 10.20
Space-group type: P4/mbm (127)

abc: 6.902 6.902 3.202
angles: 90.00 90.00 90.00
Element x y z (fractional)
Tc1 0.120 0.380 0.000
Tc2 0.380 0.880 0.000
Tc3 0.620 0.120 0.000
Tc4 0.880 0.620 0.000
Ni1 0.174 0.674 0.500
Ni2 0.326 0.174 0.500
Ni3 0.674 0.826 0.500
Ni4 0.826 0.326 0.500
Sn1 0.000 0.000 0.000
Sn2 0.500 0.500 0.000